Material: RbTlMoO4
Method: DFT, PBE with a Hubbard U
State: optimized geometry

The space group is P2_1/m (No. 11) and the conventional cell measures 5.494, 6.412 and 9.164 Å, with angles of 90.00, 101.31 and 90.00 degrees. The asymmetric unit holds Rb at (0.149, 0.250, 0.116), Tl at (0.238, 0.750, 0.513), Mo at (0.455, 0.250, 0.784), O at (0.132, 0.250, 0.790), O at (0.370, 0.750, 0.030) and O at (0.467, 0.524, 0.318).

The calculation puts the uncorrected energy at -5.924 eV per atom.